This record from Alexandria describes a geometry-optimized Ag2Hg2Br7 structure. The functional is GGA-PBE.

a = 7.3307 Å, b = 7.9261 Å, c = 7.9261 Å
α = 94.64°, β = 108.06°, γ = 108.06°
Last column: nearest neighbours and their distance in Å.
Sites, in units of the cell vectors:
Ag1 0.0000 0.3358 0.6642  4 Br 2.66-2.68
Ag2 0.0000 0.6642 0.3358  4 Br 2.66-2.68
Hg1 0.3422 0.1818 0.1818  3 Br 2.59-2.69
Hg2 0.6578 0.8182 0.8182  3 Br 2.59-2.69
Br1 0.7893 0.9815 0.5852  1 Hg 2.59, 1 Ag 2.66
Br2 0.2107 0.4148 0.0185  1 Hg 2.59, 1 Ag 2.66
Br3 0.2107 0.0185 0.4148  1 Hg 2.59, 1 Ag 2.66
Br4 0.7893 0.5852 0.9815  1 Hg 2.59, 1 Ag 2.66
Br5 0.5000 0.0000 0.0000  2 Hg 2.69
Br6 0.2813 0.5495 0.5495  2 Ag 2.68, 1 Hg 2.94
Br7 0.7187 0.4505 0.4505  2 Ag 2.68, 1 Hg 2.94

Properties
ΔE_f (raw)	-0.29	eV per atom
distance to the lowest polymorph of the same formula	0.037	eV per atom
space-group type	C2/m